[1]
Compound: Y2ScMo
Source: Alexandria
Functional: PBE
Structure: relaxed

Summary:
Fermi-level density of states, states/eV per cell: 22.5
Formation enthalpy at 0 K, meV/atom: 354
Final energy, eV/atom: -7.17

extended XYZ file:
```
12
Lattice="3.422 0.000 0.000 -1.711 2.963 0.000 0.000 0.000 30.244" Properties=species:S:1:pos:R:3 pbc="T T T"
Y 0.000 0.000 0.000
Y 0.000 0.000 6.978
Y 0.000 1.976 20.162
Y 0.000 1.976 27.140
Y 1.711 0.988 10.081
Y 1.711 0.988 17.059
Sc 0.000 0.000 14.160
Sc 0.000 1.976 4.079
Sc 1.711 0.988 24.241
Mo 0.000 0.000 22.314
Mo 0.000 1.976 12.233
Mo 1.711 0.988 2.152
```

[2]
Compound: Y2ScMo
Source: Alexandria
Functional: PBE
Structure: relaxed

Summary:
Fermi-level density of states, states/eV per cell: 3.9
Formation enthalpy at 0 K, meV/atom: 181
Final energy, eV/atom: -7.34

extended XYZ file:
```
4
Lattice="3.619 0.000 0.000 0.000 3.619 0.000 0.000 0.000 7.763" Properties=species:S:1:pos:R:3 pbc="T T T"
Y 0.000 0.000 0.000
Y 1.810 1.810 2.713
Sc 1.810 1.810 5.747
Mo 0.000 0.000 4.565
```

[3]
Compound: Y2ScMo
Source: Alexandria
Functional: PBE
Structure: relaxed

Summary:
Fermi-level density of states, states/eV per cell: 6.4
Formation enthalpy at 0 K, meV/atom: 359
Final energy, eV/atom: -7.16

extended XYZ file:
```
4
Lattice="3.327 0.000 0.000 0.000 4.681 0.000 -1.388 0.000 6.290" Properties=species:S:1:pos:R:3 pbc="T T T"
Y -0.034 0.000 1.704
Y 1.973 0.000 4.586
Sc 1.664 2.340 0.000
Mo 0.970 2.340 3.145
```